Record 1
CsNiSe2N: relaxed, PBE.

ΔE to the lowest computed polymorph, meV per atom: 1854.0
Total moment, μB/cell: 3.80

Cell and atoms, written as POSCAR:
```
CsNiSe2N
1.0
5.935 0.000 0.000
0.000 5.935 0.000
0.000 0.000 4.458
Cs Ni N Se
1 1 1 2
Direct
0.000 0.000 0.000
0.500 0.500 0.500
0.000 0.000 0.500
0.500 0.000 0.000
0.000 0.500 0.000
```

Record 2
CsNiSe2N: relaxed, PBE.

ΔE to the lowest computed polymorph, meV per atom: 0.0
Total moment, μB/cell: 0.00

Cell and atoms, written as POSCAR:
```
CsNiSe2N
1.0
-2.119 -5.132 1.992
2.816 -2.844 -4.333
2.722 -0.348 1.997
Cs Se Ni N
1 2 1 1
Direct
0.500 0.500 0.500
0.500 0.000 0.000
0.000 0.500 0.000
0.000 0.000 0.000
0.000 0.000 0.500
```

Record 3
Cs2SrNiN: relaxed, PBE.

Total moment, μB/cell: 1.13
Total DFT energy (no corrections), eV per cell: -11.9

Cell and atoms, written as POSCAR:
```
Cs2SrNiN
1.0
6.144 0.000 0.000
0.000 5.561 0.000
0.000 0.000 6.144
Cs Ni Sr N
2 1 1 1
Direct
0.500 0.000 0.000
0.000 0.000 0.500
0.000 0.000 0.000
0.000 0.500 0.000
0.500 0.500 0.500
```